Arrangement i

{
  "formula": "LiMg2Ag",
  "functional": "PBEsol",
  "state": "relaxed",
  "rho_g_cm3": 3.7,
  "crystal_system": "tetragonal",
  "volume_a3_per_fu": 73,
  "lattice": [[3.320, 0.000, 0.000], [0.000, 3.320, 0.000], [0.000, 0.000, 6.622]],
  "species": ["Li", "Mg", "Mg", "Ag"],
  "frac_coords": [[0.000, 0.000, 0.000], [0.000, 0.000, 0.562], [0.500, 0.500, 0.253], [0.500, 0.500, 0.800]]
}



Arrangement ii

{
  "formula": "LiMg2Ag",
  "functional": "PBEsol",
  "state": "relaxed",
  "rho_g_cm3": 3.8,
  "crystal_system": "tetragonal",
  "volume_a3_per_fu": 72,
  "lattice": [[-2.023, 2.023, 4.416], [2.023, -2.023, 4.416], [2.023, 2.023, -4.416]],
  "species": ["Li", "Mg", "Mg", "Ag"],
  "frac_coords": [[0.000, 0.000, 0.000], [0.500, 0.500, 0.000], [0.750, 0.250, 0.500], [0.250, 0.750, 0.500]]
}



Arrangement iii

{
  "formula": "LiMg2Ag",
  "functional": "PBEsol",
  "state": "relaxed",
  "rho_g_cm3": 3.8,
  "crystal_system": "tetragonal",
  "volume_a3_per_fu": 72,
  "lattice": [[4.668, 0.000, 0.000], [0.000, 4.668, 0.000], [0.000, 0.000, 3.310]],
  "species": ["Li", "Mg", "Mg", "Ag"],
  "frac_coords": [[0.000, 0.000, 0.000], [0.000, 0.500, 0.500], [0.500, 0.000, 0.500], [0.500, 0.500, 0.000]]
}



Arrangement iv

{
  "formula": "LiMg2Ag",
  "functional": "PBEsol",
  "state": "relaxed",
  "rho_g_cm3": 3.8,
  "crystal_system": "cubic",
  "volume_a3_per_fu": 72,
  "lattice": [[0.000, 3.306, 3.306], [3.306, 0.000, 3.306], [3.306, 3.306, 0.000]],
  "species": ["Li", "Mg", "Mg", "Ag"],
  "frac_coords": [[0.000, 0.000, 0.000], [0.500, 0.500, 0.500], [0.750, 0.750, 0.750], [0.250, 0.250, 0.250]]
}



arrangement iii is preferred energetically. Next in line: 16 meV/atom higher.



Arrangement i

{
  "formula": "LiMg2Ag",
  "functional": "PBEsol",
  "state": "relaxed",
  "rho_g_cm3": 3.7,
  "crystal_system": "monoclinic",
  "volume_a3_per_fu": 74,
  "lattice": [[2.950, 0.000, 0.000], [0.000, 4.599, 0.000], [-1.248, 0.000, 5.427]],
  "species": ["Li", "Mg", "Mg", "Ag"],
  "frac_coords": [[0.000, 0.000, 0.000], [0.355, 0.000, 0.534], [0.654, 0.500, 0.215], [0.990, 0.500, 0.745]]
}



Arrangement ii

{
  "formula": "LiMg2Ag",
  "functional": "PBEsol",
  "state": "relaxed",
  "rho_g_cm3": 3.8,
  "crystal_system": "cubic",
  "volume_a3_per_fu": 72,
  "lattice": [[0.000, 3.294, 3.294], [3.294, 0.000, 3.294], [3.294, 3.294, 0.000]],
  "species": ["Li", "Mg", "Mg", "Ag"],
  "frac_coords": [[0.000, 0.000, 0.000], [0.250, 0.250, 0.250], [0.750, 0.750, 0.750], [0.500, 0.500, 0.500]]
}



arrangement ii is preferred energetically. Next in line: 89 meV/atom higher.



Arrangement i

{
  "formula": "LiAg2Mo",
  "functional": "PBEsol",
  "state": "relaxed",
  "rho_g_cm3": 8.4,
  "crystal_system": "orthorhombic",
  "volume_a3_per_fu": 63,
  "lattice": [[2.677, 0.000, 0.000], [0.000, 4.845, 0.000], [0.000, 0.000, 4.868]],
  "species": ["Li", "Ag", "Ag", "Mo"],
  "frac_coords": [[0.000, 0.000, 0.000], [0.000, 0.500, 0.500], [0.500, 0.500, 0.000], [0.500, 0.000, 0.500]]
}



Arrangement ii

{
  "formula": "LiAg2Mo",
  "functional": "PBEsol",
  "state": "relaxed",
  "rho_g_cm3": 8.5,
  "crystal_system": "tetragonal",
  "volume_a3_per_fu": 63,
  "lattice": [[-2.225, 2.225, 3.158], [2.225, -2.225, 3.158], [2.225, 2.225, -3.158]],
  "species": ["Li", "Ag", "Ag", "Mo"],
  "frac_coords": [[0.000, 0.000, 0.000], [0.250, 0.750, 0.500], [0.750, 0.250, 0.500], [0.500, 0.500, 0.000]]
}



Arrangement iii

{
  "formula": "LiAg2Mo",
  "functional": "PBEsol",
  "state": "relaxed",
  "rho_g_cm3": 8.3,
  "crystal_system": "orthorhombic",
  "volume_a3_per_fu": 63,
  "lattice": [[3.151, -3.798, 0.000], [3.151, 3.798, 0.000], [0.000, 0.000, 2.652]],
  "species": ["Li", "Ag", "Ag", "Mo"],
  "frac_coords": [[0.000, 0.000, 0.000], [0.000, 0.500, 0.500], [0.500, 0.000, 0.500], [0.500, 0.500, 0.000]]
}



arrangement iii is preferred energetically. Next in line: 227 meV/atom higher.